[1]
DFT (PBE) results for a relaxed Cs3NiSe crystal.

Uncorrected energy (eV per atom): -2.409
ΔE_f (raw) (eV/f.u.): -0.218

Unit cell a=6.934 b=6.934 c=6.934 alpha=90.00 beta=90.00 gamma=90.00
Space group Pm-3m (No. 221)
Symmetry-distinct sites (fractional):
Cs: 0.000 0.000 0.500 [3 per cell]
Ni: 0.500 0.500 0.500 [1 per cell]
Se: 0.000 0.000 0.000 [1 per cell]



[2]
DFT (PBE) results for a relaxed CsNiSe2 crystal.

Uncorrected energy (eV per atom): -3.951
ΔE_f (raw) (eV/f.u.): -2.202

Unit cell a=7.521 b=7.521 c=8.555 alpha=90.00 beta=90.00 gamma=90.00
Space group I-42d (No. 122)
Symmetry-distinct sites (fractional):
Cs: 0.000 0.000 0.000 [4 per cell]
Ni: 0.000 0.000 0.500 [4 per cell]
Se: 0.105 0.250 0.625 [8 per cell]



[3]
DFT (PBE) results for a relaxed CsNi4Se8 crystal.

Uncorrected energy (eV per atom): -4.371
ΔE_f (raw) (eV/f.u.): -4.968

Unit cell a=7.1135 b=7.1135 c=26.3047 alpha=90.00 beta=90.00 gamma=120.00
Space group R-3m (No. 166, hexagonal axes)
Symmetry-distinct sites (fractional):
Cs: 0.0000 0.0000 0.0000 [3 per cell]
Ni: 0.0000 0.0000 0.5000 [3 per cell]
Ni: 0.0000 0.5000 0.5000 [9 per cell]
Se: 0.0000 0.0000 0.2143 [6 per cell]
Se: 0.0006 0.5003 0.7859 [18 per cell]